The following is a PBE-GGA calculation of an optimized crystal structure of Rb2GeSbTe4, from Alexandria via LeMat-Bulk.

Lattice parameters (Å, degrees): 7.3303 9.5311 11.0323 90.00 90.00 90.00
Last column: nearest neighbours and their distance in Å.
Element x y z (fractional)
Rb1 0.4531 0.3347 0.2436  5 Te 3.59-3.78
Rb2 0.4531 0.3347 0.7564  5 Te 3.59-3.78
Rb3 0.9531 0.6653 0.7436  5 Te 3.59-3.78
Rb4 0.9531 0.6653 0.2564  5 Te 3.59-3.78
Ge1 0.4872 0.8419 0.5000  4 Te 2.72-2.80
Ge2 0.9872 0.1581 0.0000  4 Te 2.72-2.80
Sb1 0.9909 0.1804 0.5000  4 Te 2.82-3.07
Sb2 0.4909 0.8196 0.0000  4 Te 2.82-3.07
Te1 0.3519 0.0953 0.0000  1 Ge 2.74, 1 Sb 2.82
Te2 0.8519 0.9047 0.5000  1 Ge 2.74, 1 Sb 2.82
Te3 0.3689 0.1127 0.5000  1 Ge 2.72, 1 Sb 2.84
Te4 0.8689 0.8873 0.0000  1 Ge 2.72, 1 Sb 2.84
Te5 0.4474 0.7306 0.7339  1 Ge 2.80, 1 Sb 3.07
Te6 0.9474 0.2694 0.2339  1 Ge 2.80, 1 Sb 3.07
Te7 0.9474 0.2694 0.7661  1 Ge 2.80, 1 Sb 3.07
Te8 0.4474 0.7306 0.2661  1 Ge 2.80, 1 Sb 3.07

Total magnetic moment   0.00 μB/f.u.
Space-group type   Pmn2_1, No. 31
Uncorrected formation energy   -399 meV/atom
E   -26.43 eV per formula unit
DOS(E_F)   0.47 states/eV per atom